# 1
Material: Pm5Nd4Y2
Method: DFT, PBE-GGA
State: relaxed

Unit cell a=6.7808 b=6.7808 c=9.3497 alpha=103.13 beta=103.13 gamma=67.07
Fractional positions:
Pm  0.0000  0.0000  0.0000
Pm  0.2098  0.6483  0.7296
Pm  0.3517  0.7902  0.2704
Pm  0.6483  0.2098  0.7296
Pm  0.7902  0.3517  0.2704
Nd  0.3064  0.3064  0.0036
Nd  0.3315  0.3315  0.3814
Nd  0.6685  0.6685  0.6186
Nd  0.6936  0.6936  0.9964
Y  0.1411  0.1411  0.6241
Y  0.8589  0.8589  0.3759

## Properties
* DFT formation energy: 0.11 eV/atom
* DFT total energy: -54.55 eV per cell
* offset from the most stable computed form: 14 meV/atom


# 2
Material: SrLaRhAu
Method: DFT, PBE-GGA
State: relaxed

Unit cell a=4.3464 b=6.3132 c=6.3132 alpha=38.04 beta=90.00 gamma=90.00
Fractional positions:
Sr  0.0000  0.0000  0.0000
La  0.5000  0.2788  0.2788
Rh  0.0000  0.7359  0.7359
Au  0.5000  0.5691  0.5691

## Properties
* DFT formation energy: -0.67 eV/atom
* DFT total energy: -19.92 eV per cell
* offset from the most stable computed form: 0 meV/atom


# 3
Material: UPaBi
Method: DFT, PBE-GGA
State: relaxed

Unit cell a=5.9351 b=5.9351 c=5.9351 alpha=143.42 beta=143.42 gamma=52.69
Fractional positions:
U  0.0000  0.0000  0.0000
Pa  0.4051  0.4051  0.0000
Bi  0.7014  0.7014  0.0000

## Properties
* DFT formation energy: 0.09 eV/atom
* DFT total energy: -24.39 eV per cell
* offset from the most stable computed form: 65 meV/atom


# 4
Material: Rb2Se2S
Method: DFT, PBE-GGA
State: relaxed

Unit cell a=6.1087 b=6.1087 c=6.1087 alpha=112.78 beta=112.78 gamma=103.03
Fractional positions:
Rb  0.2500  0.7500  0.5000
Rb  0.7500  0.2500  0.5000
Se  0.1716  0.1716  0.0000
Se  0.8284  0.8284  0.0000
S  0.5000  0.5000  0.0000

## Properties
* DFT total energy: -16.04 eV per cell
* offset from the most stable computed form: 94 meV/atom
* formation energy without anion corrections: -3.01 eV/f.u.


# 5
Material: Li2PaTi2Se6
Method: DFT, PBE-GGA
State: relaxed

Unit cell a=6.5667 b=6.5667 c=6.9227 alpha=99.02 beta=99.02 gamma=120.28
Fractional positions:
Li  0.1632  0.8368  0.0000
Li  0.8368  0.1632  0.0000
Pa  0.0000  0.0000  0.5000
Ti  0.3341  0.6659  0.5000
Ti  0.6659  0.3341  0.5000
Se  0.0777  0.4293  0.7412
Se  0.2709  0.2709  0.2575
Se  0.4293  0.0777  0.7412
Se  0.5707  0.9223  0.2588
Se  0.7291  0.7291  0.7425
Se  0.9223  0.5707  0.2588

## Properties
* DFT total energy: -63.84 eV per cell
* formation energy without anion corrections: -13.82 eV/f.u.


# 6
Material: TmSnHgPb
Method: DFT, PBE-GGA
State: relaxed

Unit cell a=5.3662 b=5.3662 c=5.3662 alpha=60.00 beta=60.00 gamma=60.00
Fractional positions:
Tm  0.0000  0.0000  0.0000
Sn  0.2500  0.2500  0.2500
Hg  0.7500  0.7500  0.7500
Pb  0.5000  0.5000  0.5000

## Properties
* DFT formation energy: -0.20 eV/atom
* DFT total energy: -13.28 eV per cell
* offset from the most stable computed form: 111 meV/atom